Entry from the Alexandria database: NaGaSi2S6 after structural relaxation (PBE-GGA).

```
20
Lattice="6.5624 0.0803 0.0833 2.2024 8.4825 -0.1185 2.2024 -0.4327 8.4723" Properties=species:S:1:pos:R:3 pbc="T T T"
Na 3.8430 7.4398 0.9265
Na 7.1243 0.6903 7.5107
Ga 3.8430 1.5231 6.6279
Ga 7.1243 6.6070 1.8093
Si 5.1246 6.3394 5.2244
Si 2.5614 3.1041 1.8668
Si 5.8427 1.7906 3.2128
Si 8.4059 5.0260 6.5704
S 5.0849 7.8399 6.7327
S 2.6012 1.6525 0.3115
S 5.8824 0.2902 1.7045
S 8.3661 6.4776 8.1257
S 5.4510 7.1477 3.2667
S 2.2351 5.0904 1.1317
S 5.5163 0.9824 5.1705
S 8.7322 3.0397 7.3055
S 3.0809 5.5962 4.8532
S 4.6052 3.4474 2.6233
S 7.8864 2.5339 3.5840
S 6.3621 4.6826 5.8138
```

Space-group type: No. 15
Formation energy (no corrections) (eV/atom): -0.654